Record 1
# Na2TeIrRu PBE-GGA relaxed
# formation energy (no corrections)	127.37	kJ per mole of atoms
# size of the total moment	0.7349	μB/atom
data_Na2TeIrRu
_chemical_formula_sum 'Na2 Te1 Ir1 Ru1'
_space_group_name_H-M_alt 'P 4/m m m'
_space_group_IT_number 123
_space_group_name_Hall '-P 4 2'
_cell_length_a 5.5675
_cell_length_b 5.5675
_cell_length_c 4.9411
_cell_angle_alpha 90.00
_cell_angle_beta 90.00
_cell_angle_gamma 90.00
loop_
_atom_site_label
_atom_site_type_symbol
_atom_site_fract_x
_atom_site_fract_y
_atom_site_fract_z
Na1 Na 0.0000 0.5000 0.0000
Te1 Te 0.0000 0.0000 0.0000
Ir1 Ir 0.5000 0.5000 0.5000
Ru1 Ru 0.0000 0.0000 0.5000

***

Record 2
# ErGaAgPt PBE-GGA relaxed
# size of the total moment	0.0000	μB/atom
# formation energy from the elements	-0.645	eV per atom
data_ErGaAgPt
_chemical_formula_sum 'Er4 Ga4 Ag4 Pt4'
_space_group_name_H-M_alt 'F -4 3 m'
_space_group_IT_number 216
_space_group_name_Hall 'F -4 2 3'
_cell_length_a 6.6955
_cell_length_b 6.6955
_cell_length_c 6.6955
_cell_angle_alpha 90.00
_cell_angle_beta 90.00
_cell_angle_gamma 90.00
loop_
_atom_site_label
_atom_site_type_symbol
_atom_site_fract_x
_atom_site_fract_y
_atom_site_fract_z
Er1 Er 0.0000 0.0000 0.0000
Ga1 Ga 0.0000 0.0000 0.5000
Ag1 Ag 0.2500 0.2500 0.7500
Pt1 Pt 0.2500 0.2500 0.2500

***

Record 3
# TcTeRhO2 PBE-GGA relaxed
# formation energy (no corrections)	29.60	kJ per mole of atoms
# size of the total moment	0.6587	μB/atom
data_TcTeRhO2
_chemical_formula_sum 'Tc1 Te1 Rh1 O2'
_space_group_name_H-M_alt 'P 4/m m m'
_space_group_IT_number 123
_space_group_name_Hall '-P 4 2'
_cell_length_a 3.8189
_cell_length_b 3.8189
_cell_length_c 6.2163
_cell_angle_alpha 90.00
_cell_angle_beta 90.00
_cell_angle_gamma 90.00
loop_
_atom_site_label
_atom_site_type_symbol
_atom_site_fract_x
_atom_site_fract_y
_atom_site_fract_z
Tc1 Tc 0.0000 0.0000 0.0000
Te1 Te 0.5000 0.5000 0.0000
Rh1 Rh 0.5000 0.5000 0.5000
O1 O 0.0000 0.5000 0.5000

***

Copy entry 2 word for word.
# ErGaAgPt PBE-GGA relaxed
# size of the total moment	0.0000	μB/atom
# formation energy from the elements	-0.645	eV per atom
data_ErGaAgPt
_chemical_formula_sum 'Er4 Ga4 Ag4 Pt4'
_space_group_name_H-M_alt 'F -4 3 m'
_space_group_IT_number 216
_space_group_name_Hall 'F -4 2 3'
_cell_length_a 6.6955
_cell_length_b 6.6955
_cell_length_c 6.6955
_cell_angle_alpha 90.00
_cell_angle_beta 90.00
_cell_angle_gamma 90.00
loop_
_atom_site_label
_atom_site_type_symbol
_atom_site_fract_x
_atom_site_fract_y
_atom_site_fract_z
Er1 Er 0.0000 0.0000 0.0000
Ga1 Ga 0.0000 0.0000 0.5000
Ag1 Ag 0.2500 0.2500 0.7500
Pt1 Pt 0.2500 0.2500 0.2500

***

Question: Among the records above, which one has the lowest size of the total moment?
Answer: ErGaAgPt

***

Question: What is the size of the total moment in the third record?
Answer: 0.6587 μB/atom